The following is a DFT calculation (PBEsol) of a geometry-optimized Fe14O15 structure.

Cell: 6.684 6.684 12.650 Å, 90.00 90.00 90.00°
Space group I4/m (No. 87)
Symmetry-distinct sites (fractional):
Fe 0.000 0.000 0.167 [4 per cell]
Fe 0.096 0.290 0.339 [16 per cell]
Fe 0.116 0.301 0.000 [8 per cell]
O 0.000 0.000 0.000 [2 per cell]
O 0.000 0.000 0.332 [4 per cell]
O 0.098 0.300 0.169 [16 per cell]
O 0.102 0.318 0.500 [8 per cell]

***

The following is a DFT calculation (PBEsol) of a geometry-optimized Fe12O13 structure.

Cell: 10.7580 10.7580 7.3154 Å, 90.00 90.00 120.00°
Space group R-3 (No. 148, hexagonal axes)
Symmetry-distinct sites (fractional):
Fe 0.0378 0.4453 0.1673 [18 per cell]
Fe 0.0524 0.8753 0.8221 [18 per cell]
O 0.0000 0.0000 0.0000 [3 per cell]
O 0.0300 0.4365 0.6663 [18 per cell]
O 0.0542 0.8676 0.3236 [18 per cell]

***

The following is a DFT calculation (PBEsol) of a geometry-optimized FeOsO2 structure.

Cell: 2.7068 2.7068 18.5323 Å, 90.00 90.00 120.00°
Space group R-3m (No. 166, hexagonal axes)
Symmetry-distinct sites (fractional):
Fe 0.0000 0.0000 0.0000 [3 per cell]
Os 0.0000 0.0000 0.5000 [3 per cell]
O 0.0000 0.0000 0.3938 [6 per cell]

***

The following is a DFT calculation (PBEsol) of a geometry-optimized Sr2FeOsO6 structure.

Cell: 5.5530 5.5530 27.1914 Å, 90.00 90.00 120.00°
Space group R-3m (No. 166, hexagonal axes)
Symmetry-distinct sites (fractional):
Sr 0.0000 0.0000 0.1236 [6 per cell]
Sr 0.0000 0.0000 0.3737 [6 per cell]
Fe 0.0000 0.0000 0.2488 [6 per cell]
Os 0.0000 0.0000 0.0000 [3 per cell]
Os 0.0000 0.0000 0.5000 [3 per cell]
O 0.0028 0.5014 0.6254 [18 per cell]
O 0.0056 0.5028 0.1255 [18 per cell]

***

The following is a DFT calculation (PBEsol) of a geometry-optimized Fe2P3O12 structure.

Cell: 7.9884 7.9884 21.2753 Å, 90.00 90.00 120.00°
Space group R-3 (No. 148, hexagonal axes)
Symmetry-distinct sites (fractional):
Fe 0.0000 0.0000 0.1401 [6 per cell]
Fe 0.0000 0.0000 0.3524 [6 per cell]
P 0.0019 0.7188 0.7491 [18 per cell]
O 0.0032 0.1928 0.1874 [18 per cell]
O 0.0313 0.8359 0.0872 [18 per cell]
O 0.0918 0.8749 0.6967 [18 per cell]
O 0.0926 0.8716 0.4022 [18 per cell]

***

The following is a DFT calculation (PBEsol) of a geometry-optimized FeP2O2 structure.

Cell: 3.064 3.064 14.800 Å, 90.00 90.00 90.00°
Space group I4/mmm (No. 139)
Symmetry-distinct sites (fractional):
Fe 0.000 0.000 0.000 [2 per cell]
P 0.000 0.500 0.250 [4 per cell]
O 0.000 0.000 0.448 [4 per cell]

***

The following is a DFT calculation (PBEsol) of a geometry-optimized FeP3O9 structure.

Distance to the lowest polymorph of the same formula, eV/atom: 0.0428

Cell: 6.602 6.853 7.268 Å, 102.03 92.44 93.90°
Space group P-1 (No. 2)
Symmetry-distinct sites (fractional):
Fe 0.161 0.098 0.357 [2 per cell]
P 0.145 0.205 0.945 [2 per cell]
P 0.334 0.885 0.700 [2 per cell]
P 0.336 0.444 0.700 [2 per cell]
O 0.050 0.855 0.174 [2 per cell]
O 0.130 0.246 0.156 [2 per cell]
O 0.169 0.918 0.559 [2 per cell]
O 0.177 0.336 0.548 [2 per cell]
O 0.260 0.396 0.898 [2 per cell]
O 0.286 0.676 0.750 [2 per cell]
O 0.301 0.032 0.896 [2 per cell]
O 0.447 0.585 0.321 [2 per cell]
O 0.448 0.079 0.340 [2 per cell]

***

The following is a DFT calculation (PBEsol) of a geometry-optimized FeP2O7 structure.

Cell: 6.802 7.975 9.557 Å, 90.00 103.95 90.00°
Space group P2_1/c (No. 14)
Symmetry-distinct sites (fractional):
Fe 0.225 0.077 0.335 [4 per cell]
P 0.030 0.749 0.459 [4 per cell]
P 0.382 0.739 0.704 [4 per cell]
O 0.059 0.111 0.146 [4 per cell]
O 0.065 0.588 0.886 [4 per cell]
O 0.113 0.227 0.440 [4 per cell]
O 0.240 0.678 0.551 [4 per cell]
O 0.299 0.613 0.263 [4 per cell]
O 0.402 0.577 0.799 [4 per cell]
O 0.408 0.243 0.332 [4 per cell]

***

Number 1: E_form (uncorrected) -0.907 eV/atom, M_tot 58.066 μB per formula unit. Number 2: E_form (uncorrected) -0.917 eV/atom, M_tot 50.037 μB per formula unit. Number 3: E_form (uncorrected) -0.778 eV/atom, M_tot 1.507 μB per formula unit. Number 4: E_form (uncorrected) -1.926 eV/atom, M_tot 4.287 μB per formula unit. Number 5: E_form (uncorrected) -1.683 eV/atom, M_tot 5.000 μB per formula unit. Number 6: E_form (uncorrected) 0.316 eV/atom, M_tot 4.023 μB per formula unit. Number 7: E_form (uncorrected) -1.909 eV/atom, M_tot 5.000 μB per formula unit. Number 8: E_form (uncorrected) -1.733 eV/atom, M_tot 3.975 μB per formula unit.